Compound: CoRe2Cl
Source: the Alexandria database
Functional: PBE
Structure: optimized geometry

Unit cell a=2.7976 b=2.7976 c=8.6281 alpha=90.00 beta=90.00 gamma=117.69
With the nearest neighbours (Å) after each atom.
Fractional positions:
Co1 0.0000 0.0000 0.0000  2 Cl 2.36, 2 Re 2.57
Re1 0.0000 0.0000 0.4952  8 Re 2.59-2.89, 2 Cl 2.88
Re2 0.5000 0.5000 0.2458  2 Co 2.57, 6 Re 2.59-2.80
Cl1 0.5000 0.5000 0.7840  2 Co 2.36

Calculated values
* crystal system: orthorhombic
* space-group type: No. 35
* E above lowest polymorph: 228 meV per atom

Compound: Li2AsHPb
Source: the Alexandria database
Functional: PBE
Structure: optimized geometry

Unit cell a=4.3289 b=4.3289 c=4.6208 alpha=90.00 beta=90.00 gamma=90.00
With the nearest neighbours (Å) after each atom.
Fractional positions:
Li1 0.0000 0.5000 0.0000  2 H 2.16
Li2 0.5000 0.0000 0.0000  2 H 2.16
As1 0.0000 0.0000 0.5000  4 Pb 3.06, 8 Li 3.17
H1 0.5000 0.5000 0.0000  4 Li 2.16, 2 Pb 2.31
Pb1 0.5000 0.5000 0.5000  2 H 2.31

Calculated values
* crystal system: tetragonal
* space-group type: No. 123
* E above lowest polymorph: 0 meV per atom

Compound: Dy3Cd2Au3
Source: the Alexandria database
Functional: PBE
Structure: optimized geometry

Unit cell a=10.5803 b=10.5803 c=10.5803 alpha=160.29 beta=152.32 gamma=34.22
With the nearest neighbours (Å) after each atom.
Fractional positions:
Dy1 0.0000 0.0000 0.0000  8 Au 3.02-3.11
Dy2 0.3730 0.8730 0.5000  6 Au 3.12-3.14, 4 Cd 3.28-3.38
Dy3 0.6270 0.1270 0.5000  6 Au 3.12-3.14, 4 Cd 3.28-3.38
Cd1 0.2376 0.2376 0.0000  2 Au 3.00, 4 Cd 3.15, 2 Dy 3.28
Cd2 0.7624 0.7624 0.0000  2 Au 3.00, 4 Cd 3.15, 2 Dy 3.28
Au1 0.1196 0.6196 0.5000  2 Cd 3.00, 6 Dy 3.02-3.12
Au2 0.5000 0.5000 0.0000  8 Dy 3.11-3.14
Au3 0.8804 0.3804 0.5000  2 Cd 3.00, 6 Dy 3.02-3.12

Calculated values
* crystal system: orthorhombic
* space-group type: No. 71
* E above lowest polymorph: 38 meV per atom
* formation enthalpy at 0 K: -487 kJ/mol of formula units

Compound: Nd2Y2Er
Source: the Alexandria database
Functional: PBE
Structure: optimized geometry

Unit cell a=16.2286 b=16.2286 c=16.2286 alpha=167.02 beta=159.55 gamma=24.29
With the nearest neighbours (Å) after each atom.
Fractional positions:
Nd1 0.2717 0.0217 0.2500  3 Nd 3.14-3.19
Nd2 0.3707 0.1207 0.2500  1 Nd 3.14, 2 Y 3.33
Nd3 0.6293 0.8793 0.7500  1 Nd 3.14, 2 Y 3.33
Nd4 0.7283 0.9783 0.7500  3 Nd 3.14-3.19
Y1 0.0549 0.8049 0.2500  6 Y 3.44-3.67, 2 Nd 3.73
Y2 0.4584 0.7084 0.7500  6 Y 3.21-3.44, 2 Nd 3.33
Y3 0.5416 0.2916 0.2500  6 Y 3.21-3.44, 2 Nd 3.33
Y4 0.9451 0.1951 0.7500  6 Y 3.44-3.67, 2 Nd 3.73
Er1 0.1692 0.4192 0.7500  10 Nd 3.64-3.90, 2 Er 3.67, 2 Y 4.06
Er2 0.8308 0.5808 0.2500  10 Nd 3.64-3.90, 2 Er 3.67, 2 Y 4.06

Calculated values
* crystal system: orthorhombic
* space-group type: No. 74
* E above lowest polymorph: 120 meV per atom
* formation enthalpy at 0 K: 65 kJ/mol of formula units

Compound: ZnPbW2
Source: the Alexandria database
Functional: PBE
Structure: optimized geometry

Unit cell a=2.9194 b=4.6513 c=5.4161 alpha=90.00 beta=94.93 gamma=90.00
With the nearest neighbours (Å) after each atom.
Fractional positions:
Zn1 0.0000 0.0000 0.0000  4 W 2.78, 2 Zn 2.92, 2 Pb 2.96
Pb1 0.5000 0.0000 0.5000  4 W 2.87, 2 Pb 2.92, 4 Zn 2.96-3.18
W1 0.3042 0.5000 0.7836  1 W 2.52, 2 Zn 2.78
W2 0.6958 0.5000 0.2164  1 W 2.52, 2 Zn 2.78

Calculated values
* crystal system: monoclinic
* space-group type: No. 10
* E above lowest polymorph: 261 meV per atom
* formation enthalpy at 0 K: 297 kJ/mol of formula units

Compound: DySiTc2
Source: the Alexandria database
Functional: PBE
Structure: optimized geometry

Unit cell a=4.2751 b=5.7733 c=6.0850 alpha=90.00 beta=90.00 gamma=90.00
With the nearest neighbours (Å) after each atom.
Fractional positions:
Dy1 0.2500 0.2500 0.0954  4 Si 3.02-3.05, 8 Tc 3.27-3.30
Dy2 0.7500 0.7500 0.9046  4 Si 3.02-3.05, 8 Tc 3.27-3.30
Si1 0.2500 0.7500 0.2563  6 Tc 2.63
Si2 0.7500 0.2500 0.7437  6 Tc 2.63
Tc1 0.2500 0.0369 0.5930  3 Tc 2.46, 3 Si 2.63
Tc2 0.2500 0.4631 0.5930  3 Tc 2.46, 3 Si 2.63
Tc3 0.7500 0.5369 0.4070  3 Tc 2.46, 3 Si 2.63
Tc4 0.7500 0.9631 0.4070  3 Tc 2.46, 3 Si 2.63

Calculated values
* crystal system: orthorhombic
* space-group type: No. 59
* total energy: -8.0168 eV/atom

Compound: InAgTeI2
Source: the Alexandria database
Functional: PBE
Structure: optimized geometry

Unit cell a=5.7793 b=5.7793 c=5.5074 alpha=90.00 beta=90.00 gamma=90.00
With the nearest neighbours (Å) after each atom.
Fractional positions:
In1 0.0000 0.0000 0.0000  8 I 3.99, 4 Te 4.09
Ag1 0.5000 0.5000 0.5000  2 Te 2.75, 4 I 2.89
Te1 0.5000 0.5000 0.0000  2 Ag 2.75
I1 0.0000 0.5000 0.5000  2 Ag 2.89
I2 0.5000 0.0000 0.5000  2 Ag 2.89

Calculated values
* crystal system: tetragonal
* space-group type: No. 123
* E above lowest polymorph: 0 meV per atom

Compound: Ho12Fe6Pb
Source: the Alexandria database
Functional: PBE
Structure: optimized geometry

Unit cell a=8.3811 b=8.3811 c=8.3811 alpha=109.47 beta=109.47 gamma=109.47
With the nearest neighbours (Å) after each atom.
Fractional positions:
Ho1 0.1038 0.8039 0.2999  3 Fe 2.70-2.91
Ho2 0.1961 0.2999 0.4960  3 Fe 2.70-2.91
Ho3 0.1961 0.7001 0.8962  3 Fe 2.70-2.91
Ho4 0.2999 0.1038 0.8039  3 Fe 2.70-2.91
Ho5 0.2999 0.4960 0.1961  3 Fe 2.70-2.91
Ho6 0.4960 0.1961 0.2999  3 Fe 2.70-2.91
Ho7 0.5040 0.8039 0.7001  3 Fe 2.70-2.91
Ho8 0.7001 0.5040 0.8039  3 Fe 2.70-2.91
Ho9 0.7001 0.8962 0.1961  3 Fe 2.70-2.91
Ho10 0.8039 0.2999 0.1038  3 Fe 2.70-2.91
Ho11 0.8039 0.7001 0.5040  3 Fe 2.70-2.91
Ho12 0.8962 0.1961 0.7001  3 Fe 2.70-2.91
Fe1 0.1094 0.6094 0.5000  1 Fe 2.12
Fe2 0.3906 0.5000 0.8906  1 Fe 2.12
Fe3 0.5000 0.1094 0.6094  1 Fe 2.12
Fe4 0.5000 0.8906 0.3906  1 Fe 2.12
Fe5 0.6094 0.5000 0.1094  1 Fe 2.12
Fe6 0.8906 0.3906 0.5000  1 Fe 2.12
Pb1 0.0000 0.0000 0.0000  12 Ho 3.47

Calculated values
* crystal system: cubic
* space-group type: No. 204
* formation enthalpy at 0 K: -196 kJ/mol of formula units